[1]
5
Lattice="-1.649 1.649 7.779 1.649 -1.649 7.779 1.649 1.649 -7.779" Properties=species:S:1:pos:R:3 comment="Hf2VFe2 (GGA-PBE, relaxed)" polymorph_energy_ev_per_atom=0.464 dft_energy_ev_per_atom=-8.875 sg="I4/mmm (139)" pbc="T T T"
Hf 0.000 0.000 1.663
Hf 0.000 0.000 13.895
V 0.000 0.000 7.779
Fe 1.649 0.000 3.890
Fe 0.000 1.649 3.890

---

[2]
7
Lattice="-2.302 2.439 10.516 2.302 -2.439 10.516 2.302 2.439 -10.516" Properties=species:S:1:pos:R:3 comment="Ba3Zn2Ag2 (GGA-PBE, relaxed)" dft_energy_ev_per_atom=-2.233 sg="Immm (71)" pbc="T T T"
Ba 0.000 0.000 0.000
Ba 2.302 0.000 6.690
Ba 0.000 2.439 3.826
Zn 0.000 0.000 9.191
Zn 0.000 0.000 11.841
Ag 2.302 0.000 2.744
Ag 0.000 2.439 7.772